First-principles (PBE-GGA) data for a relaxed structure of Ba3SrSb, as listed in Alexandria via LeMat-Bulk.

Unit cell a=6.8021 b=6.8021 c=6.8021 alpha=90.00 beta=90.00 gamma=90.00
Last column: nearest neighbours and their distance in Å.
Sites, in units of the cell vectors:
1 Sb 0.0000 0.0000 0.0000  6 Ba 3.40
2 Ba 0.0000 0.5000 0.0000  2 Sb 3.40
3 Ba 0.0000 0.0000 0.5000  2 Sb 3.40
4 Ba 0.5000 0.0000 0.0000  2 Sb 3.40
5 Sr 0.5000 0.5000 0.5000  12 Ba 4.81

**Energy above the most stable polymorph in this dataset**: 0.000 eV per formula unit
**M_tot**: 0.00 μB/cell
**Formation energy without anion corrections**: -373 meV per atom